A plane-wave DFT calculation with PBE was carried out for a geometry-optimized AlCdIn structure.

Computed properties:
Uncorrected energy in eV/cell: -27.768
Energy of formation in meV per atom: 151
Crystal system: orthorhombic

Cell lengths 6.266, 4.421, 9.722 Å; angles 90.00, 90.00, 90.00 degrees
Space group Pnma (No. 62)
Asymmetric unit:
Al  0.125  0.250  0.250 (multiplicity 4)
Cd  0.125  0.250  0.581 (multiplicity 4)
In  0.125  0.250  0.905 (multiplicity 4)